# Na2MnSnBr6 GGA-PBE relaxed
data_Na2MnSnBr6
_space_group_name_H-M_alt 'R 3'
_space_group_IT_number 146
_space_group_name_Hall 'R 3'
_cell_length_a 7.3454
_cell_length_b 7.3454
_cell_length_c 19.7380
_cell_angle_alpha 90.00
_cell_angle_beta 90.00
_cell_angle_gamma 120.00
loop_
_atom_site_label
_atom_site_fract_x
_atom_site_fract_y
_atom_site_fract_z
Na1 0.0000 0.0000 0.0000
Na2 0.0000 0.0000 0.4939
Mn1 0.0000 0.0000 0.6935
Sn1 0.0000 0.0000 0.1963
Br1 0.0096 0.3726 0.4304
Br2 0.0485 0.6821 0.2720
# V = 30.75 Å³/atom
# Final energy = -3.651 eV per atom
# Formation energy (no corrections) = -1.07 eV/atom